*i*
Here is a relaxed LiTlTe crystal from Alexandria. Energies are from PBE.

Lattice parameters (Å, degrees): 4.084 7.085 12.301 90.00 90.00 90.00
Space group Immm (No. 71)
Asymmetric unit:
Li 0.000 0.185 0.000 x4
Tl 0.000 0.000 0.340 x4
Te 0.000 0.500 0.356 x4



*ii*
Here is a relaxed LiTlTe crystal from Alexandria. Energies are from PBE.

Lattice parameters (Å, degrees): 4.085 4.085 10.877 90.00 90.00 90.00
Space group I4mm (No. 107)
Asymmetric unit:
Li 0.000 0.000 0.000 x2
Tl 0.000 0.000 0.259 x2
Te 0.000 0.000 0.575 x2



*iii*
Here is a relaxed LiTlTe crystal from Alexandria. Energies are from PBE.

Lattice parameters (Å, degrees): 4.6815 4.6815 4.8106 90.00 90.00 120.00
Space group P3m1 (No. 156)
Asymmetric unit:
Li 0.0000 0.0000 0.0000 x1
Tl 0.6667 0.3333 0.5001 x1
Te 0.3333 0.6667 0.0028 x1



*iii* comes first in stability; the runner-up is 15.1 kJ/mol of atoms higher.